Entry 1:
A geometry-optimized LiMoAuSeS2 structure. Source: OQMD, functional PBE-GGA.

```
data_LiMoAuSeS2
_chemical_formula_sum 'Li4 Mo4 Au4 Se4 S8'
_symmetry_space_group_name_H-M 'C m c m'
_symmetry_Int_Tables_number 63
_symmetry_space_group_name_Hall '-C 2c 2'
_cell_length_a 3.3290
_cell_length_b 13.9833
_cell_length_c 10.0485
_cell_angle_alpha 90.00
_cell_angle_beta 90.00
_cell_angle_gamma 90.00
loop_
_atom_site_label
_atom_site_fract_x
_atom_site_fract_y
_atom_site_fract_z
Li1 0.0000 0.2032 0.2500
Mo1 0.0000 0.5000 0.0000
Au1 0.0000 0.1438 0.7500
Se1 0.0000 0.4423 0.7500
S1 0.0000 0.1304 0.5188
```

Entry 2:
A geometry-optimized Ta4Cd3Mo2C3 structure. Source: OQMD, functional PBE-GGA.

```
data_Ta4Cd3Mo2C3
_chemical_formula_sum 'Ta16 Cd12 Mo8 C12'
_symmetry_space_group_name_H-M 'C 1 2/c 1'
_symmetry_Int_Tables_number 15
_symmetry_space_group_name_Hall '-C 2yc'
_cell_length_a 9.4140
_cell_length_b 5.4362
_cell_length_c 14.7985
_cell_angle_alpha 90.00
_cell_angle_beta 102.26
_cell_angle_gamma 90.00
loop_
_atom_site_label
_atom_site_fract_x
_atom_site_fract_y
_atom_site_fract_z
Ta1 0.1104 0.0862 0.0823
Ta2 0.2241 0.0820 0.4177
Cd1 0.0000 0.0950 0.7500
Cd2 0.1609 0.4236 0.2511
Mo1 0.0562 0.4181 0.9235
C1 0.0851 0.2451 0.5000
C2 0.2500 0.2500 0.0000
```

Entry 3:
# ThBeZn PBE-GGA relaxed
# relative energy among the computed polymorphs: 0 meV/atom
data_ThBeZn
_chemical_formula_sum 'Th4 Be4 Zn4'
_symmetry_space_group_name_H-M 'F -4 3 m'
_symmetry_Int_Tables_number 216
_symmetry_space_group_name_Hall 'F -4 2 3'
_cell_length_a 6.3200
_cell_length_b 6.3200
_cell_length_c 6.3200
_cell_angle_alpha 90.00
_cell_angle_beta 90.00
_cell_angle_gamma 90.00
loop_
_atom_site_label
_atom_site_fract_x
_atom_site_fract_y
_atom_site_fract_z
Th1 0.0000 0.0000 0.0000
Be1 0.2500 0.2500 0.2500
Zn1 0.0000 0.0000 0.5000

Entry 4:
A geometry-optimized Y2BeCo structure. Source: OQMD, functional PBE-GGA.

```
data_Y2BeCo
_chemical_formula_sum 'Y8 Be4 Co4'
_symmetry_space_group_name_H-M 'F -4 3 m'
_symmetry_Int_Tables_number 216
_symmetry_space_group_name_Hall 'F -4 2 3'
_cell_length_a 6.5720
_cell_length_b 6.5720
_cell_length_c 6.5720
_cell_angle_alpha 90.00
_cell_angle_beta 90.00
_cell_angle_gamma 90.00
loop_
_atom_site_label
_atom_site_fract_x
_atom_site_fract_y
_atom_site_fract_z
Y1 0.0000 0.0000 0.0000
Y2 0.2500 0.2500 0.2500
Be1 0.0000 0.0000 0.5000
Co1 0.2500 0.2500 0.7500
```

Entry 5:
# AgAsAu PBE-GGA relaxed
# relative energy among the computed polymorphs: 0 meV/atom
data_AgAsAu
_chemical_formula_sum 'Ag4 As4 Au4'
_symmetry_space_group_name_H-M 'F -4 3 m'
_symmetry_Int_Tables_number 216
_symmetry_space_group_name_Hall 'F -4 2 3'
_cell_length_a 6.3276
_cell_length_b 6.3276
_cell_length_c 6.3276
_cell_angle_alpha 90.00
_cell_angle_beta 90.00
_cell_angle_gamma 90.00
loop_
_atom_site_label
_atom_site_fract_x
_atom_site_fract_y
_atom_site_fract_z
Ag1 0.0000 0.0000 0.0000
As1 0.0000 0.0000 0.5000
Au1 0.2500 0.2500 0.2500

Entry 6:
A geometry-optimized GdOF structure. Source: OQMD, functional PBE-GGA.

```
data_GdOF
_chemical_formula_sum 'Gd6 O6 F6'
_symmetry_space_group_name_H-M 'R -3 m'
_symmetry_Int_Tables_number 166
_symmetry_space_group_name_Hall '-R 3 2"'
_cell_length_a 3.8229
_cell_length_b 3.8229
_cell_length_c 19.0392
_cell_angle_alpha 90.00
_cell_angle_beta 90.00
_cell_angle_gamma 120.00
loop_
_atom_site_label
_atom_site_fract_x
_atom_site_fract_y
_atom_site_fract_z
Gd1 0.0000 0.0000 0.2416
O1 0.0000 0.0000 0.1215
F1 0.0000 0.0000 0.3698
```

Entry 7:
A geometry-optimized TbSi3Ir structure. Source: OQMD, functional PBE-GGA.

```
data_TbSi3Ir
_chemical_formula_sum 'Tb2 Si6 Ir2'
_symmetry_space_group_name_H-M 'I 4 m m'
_symmetry_Int_Tables_number 107
_symmetry_space_group_name_Hall 'I 4 -2'
_cell_length_a 4.2003
_cell_length_b 4.2003
_cell_length_c 9.8151
_cell_angle_alpha 90.00
_cell_angle_beta 90.00
_cell_angle_gamma 90.00
loop_
_atom_site_label
_atom_site_fract_x
_atom_site_fract_y
_atom_site_fract_z
Tb1 0.0000 0.0000 0.0000
Si1 0.0000 0.0000 0.4163
Si2 0.0000 0.5000 0.2673
Ir1 0.0000 0.0000 0.6549
```

Entry 8:
# PIrAuO PBE-GGA relaxed
# relative energy among the computed polymorphs: 167 meV/atom
data_PIrAuO
_chemical_formula_sum 'P2 Ir2 Au2 O2'
_symmetry_space_group_name_H-M 'P m c 21'
_symmetry_Int_Tables_number 26
_symmetry_space_group_name_Hall 'P 2c -2'
_cell_length_a 3.8485
_cell_length_b 6.2155
_cell_length_c 5.4883
_cell_angle_alpha 90.00
_cell_angle_beta 90.00
_cell_angle_gamma 90.00
loop_
_atom_site_label
_atom_site_fract_x
_atom_site_fract_y
_atom_site_fract_z
P1 0.0000 0.2257 0.0000
Ir1 0.0000 0.1234 0.5955
Au1 0.5000 0.4506 0.0517
O1 0.5000 0.1743 0.5476

Entry 9:
A geometry-optimized Pd2S3 structure. Source: OQMD, functional PBE-GGA.

```
data_Pd2S3
_chemical_formula_sum 'Pd32 S48'
_symmetry_space_group_name_H-M 'F d d d'
_symmetry_Int_Tables_number 70
_cell_length_a 7.0766
_cell_length_b 10.3673
_cell_length_c 21.2493
_cell_angle_alpha 90.00
_cell_angle_beta 90.00
_cell_angle_gamma 90.00
loop_
_symmetry_equiv_pos_as_xyz
'x,y,z'
'-x,-y,-z'
'-x+1/4,-y+1/4,z'
'x+1/4,y+1/4,-z'
'x,-y+1/4,-z+1/4'
'-x,y+1/4,z+1/4'
'-x+1/4,y,-z+1/4'
'x+1/4,-y,z+1/4'
'x,y+1/2,z+1/2'
'-x,-y+1/2,-z+1/2'
'-x+1/4,-y+3/4,z+1/2'
'x+1/4,y+3/4,-z+1/2'
'x,-y+3/4,-z+3/4'
'-x,y+3/4,z+3/4'
'-x+1/4,y+1/2,-z+3/4'
'x+1/4,-y+1/2,z+3/4'
'x+1/2,y,z+1/2'
'-x+1/2,-y,-z+1/2'
'-x+3/4,-y+1/4,z+1/2'
'x+3/4,y+1/4,-z+1/2'
'x+1/2,-y+1/4,-z+3/4'
'-x+1/2,y+1/4,z+3/4'
'-x+3/4,y,-z+3/4'
'x+3/4,-y,z+3/4'
'x+1/2,y+1/2,z'
'-x+1/2,-y+1/2,-z'
'-x+3/4,-y+3/4,z'
'x+3/4,y+3/4,-z'
'x+1/2,-y+3/4,-z+1/4'
'-x+1/2,y+3/4,z+1/4'
'-x+3/4,y+1/2,-z+1/4'
'x+3/4,-y+1/2,z+1/4'
loop_
_atom_site_label
_atom_site_fract_x
_atom_site_fract_y
_atom_site_fract_z
Pd1 0.1250 0.1250 0.0451
Pd2 0.1250 0.1250 0.3810
S1 0.1042 0.3542 0.2016
S2 0.1167 0.3750 0.3750
```

Entry 10:
A geometry-optimized HoTlI4 structure. Source: OQMD, functional PBE-GGA.

```
data_HoTlI4
_chemical_formula_sum 'Ho3 Tl3 I12'
_symmetry_space_group_name_H-M 'R -3 m'
_symmetry_Int_Tables_number 166
_symmetry_space_group_name_Hall '-R 3 2"'
_cell_length_a 5.6911
_cell_length_b 5.6911
_cell_length_c 26.5454
_cell_angle_alpha 90.00
_cell_angle_beta 90.00
_cell_angle_gamma 120.00
loop_
_atom_site_label
_atom_site_fract_x
_atom_site_fract_y
_atom_site_fract_z
Ho1 0.0000 0.0000 0.0000
Tl1 0.0000 0.0000 0.5000
I1 0.0000 0.0000 0.1126
I2 0.0000 0.0000 0.3559
```

Entry 11:
A geometry-optimized SmTmSb2 structure. Source: OQMD, functional PBE-GGA.

```
data_SmTmSb2
_chemical_formula_sum 'Sm1 Tm1 Sb2'
_symmetry_space_group_name_H-M 'P 4/m m m'
_symmetry_Int_Tables_number 123
_symmetry_space_group_name_Hall '-P 4 2'
_cell_length_a 4.4017
_cell_length_b 4.4017
_cell_length_c 6.2259
_cell_angle_alpha 90.00
_cell_angle_beta 90.00
_cell_angle_gamma 90.00
loop_
_atom_site_label
_atom_site_fract_x
_atom_site_fract_y
_atom_site_fract_z
Sm1 0.0000 0.0000 0.0000
Tm1 0.5000 0.5000 0.5000
Sb1 0.0000 0.0000 0.5000
Sb2 0.5000 0.5000 0.0000
```

Entry 12:
# Cu2Ag3 PBE-GGA relaxed
# energy of formation from the pure elements: 0.089 eV/atom
# relative energy among the computed polymorphs: 56 meV/atom
data_Cu2Ag3
_chemical_formula_sum 'Cu8 Ag12'
_symmetry_space_group_name_H-M 'P 1'
_symmetry_Int_Tables_number 1
_symmetry_space_group_name_Hall 'P 1'
_cell_length_a 5.6612
_cell_length_b 6.2113
_cell_length_c 9.7038
_cell_angle_alpha 75.97
_cell_angle_beta 73.18
_cell_angle_gamma 76.78
loop_
_atom_site_label
_atom_site_fract_x
_atom_site_fract_y
_atom_site_fract_z
Cu1 0.0000 0.0000 0.0000
Cu2 0.0223 0.9885 0.5160
Cu3 0.1117 0.1754 0.7141
Cu4 0.3270 0.5888 0.1047
Cu5 0.5349 0.9977 0.0055
Cu6 0.6246 0.2001 0.1860
Cu7 0.7181 0.3770 0.9126
Cu8 0.9251 0.8027 0.8084
Ag1 0.1266 0.1950 0.1943
Ag2 0.2176 0.3798 0.9020
Ag3 0.2227 0.3834 0.4022
Ag4 0.3163 0.5906 0.6093
Ag5 0.4111 0.7916 0.8276
Ag6 0.4186 0.8024 0.2998
Ag7 0.5159 0.9913 0.5110
Ag8 0.6362 0.1807 0.7117
Ag9 0.7256 0.3847 0.4008
Ag10 0.8152 0.6016 0.0910
Ag11 0.8230 0.5915 0.6205
Ag12 0.9217 0.8021 0.2982

The calculation returns the following V values, one per record and in order: 19.49; 15.42; 21.04; 17.74; 21.11; 13.39; 17.32; 16.41; 19.49; 41.37; 30.16; 15.61 Å³ per atom.
The calculation returns the following raw total energy values, one per record and in order: -120.6; -408.3; -49.0; -90.3; -41.3; -138.6; -67.4; -45.6; -374.8; -57.5; -21.9; -61.9 eV per cell.